Record 1
Entry from OQMD via LeMat-Bulk: a relaxed PrGdGa2Ni4 crystal (PBE).

Cell lengths 4.1732, 4.1732, 9.2154 Å; angles 90.00, 90.00, 120.00 degrees
Space group P-6m2 (No. 187)
Asymmetric unit:
Pr (0.0000, 0.0000, 0.0000)
Gd (0.6667, 0.3333, 0.5000)
Ga (0.3333, 0.6667, 0.2578)
Ni (0.0000, 0.0000, 0.3157)
Ni (0.6667, 0.3333, 0.2005)

Energy (eV per atom): -5.246
Total moment (μB/f.u.): 0.0

---

Record 2
Entry from OQMD via LeMat-Bulk: a relaxed BaNaHfAu crystal (PBE).

Cell lengths 7.5933, 7.5933, 7.5933 Å; angles 90.00, 90.00, 90.00 degrees
Space group F-43m (No. 216)
Asymmetric unit:
Ba (0.0000, 0.0000, 0.0000)
Na (0.2500, 0.2500, 0.2500)
Hf (0.0000, 0.0000, 0.5000)
Au (0.2500, 0.2500, 0.7500)

Energy (eV per atom): -3.737
Total moment (μB/f.u.): 1.0
Energy relative to the lowest polymorph listed for this composition (eV per atom): 0.040

---

Record 3
Entry from OQMD via LeMat-Bulk: a relaxed SmCo3NiB crystal (PBE).

Cell lengths 5.0335, 5.0335, 6.8897 Å; angles 90.00, 90.00, 120.00 degrees
Space group P6/mmm (No. 191)
Asymmetric unit:
Sm (0.0000, 0.0000, 0.0000)
Sm (0.0000, 0.0000, 0.5000)
Co (0.0000, 0.5000, 0.2114)
Ni (0.3333, 0.6667, 0.5000)
B (0.3333, 0.6667, 0.0000)

Energy (eV per atom): -6.667
Total moment (μB/f.u.): 2.2

---

Record 4
Entry from OQMD via LeMat-Bulk: a relaxed GdZrTc crystal (PBE).

Cell lengths 6.5621, 6.5621, 6.5621 Å; angles 90.00, 90.00, 90.00 degrees
Space group F-43m (No. 216)
Asymmetric unit:
Gd (0.0000, 0.0000, 0.0000)
Zr (0.2500, 0.2500, 0.2500)
Tc (0.0000, 0.0000, 0.5000)

Energy (eV per atom): -7.177
Formation enthalpy at 0 K (eV per atom): 0.677
Total moment (μB/f.u.): 0.0
Energy relative to the lowest polymorph listed for this composition (eV per atom): 0.000

---

Record 5
Entry from OQMD via LeMat-Bulk: a relaxed SmHoGeBr2 crystal (PBE).

Cell lengths 4.1852, 4.1852, 10.4744 Å; angles 90.00, 90.00, 120.00 degrees
Space group P3m1 (No. 156)
Asymmetric unit:
Sm (0.0000, 0.0000, 0.0000)
Ho (0.6667, 0.3333, 0.3110)
Ge (0.3333, 0.6667, 0.1596)
Br (0.0000, 0.0000, 0.4729)
Br (0.6667, 0.3333, 0.8301)

Energy (eV per atom): -4.899
Total moment (μB/f.u.): 0.0

---

Record 6
Entry from OQMD via LeMat-Bulk: a relaxed AcSnMo crystal (PBE).

Cell lengths 6.9207, 6.9207, 6.9207 Å; angles 90.00, 90.00, 90.00 degrees
Space group F-43m (No. 216)
Asymmetric unit:
Ac (0.0000, 0.0000, 0.0000)
Sn (0.0000, 0.0000, 0.5000)
Mo (0.2500, 0.2500, 0.2500)

Energy (eV per atom): -5.898
Total moment (μB/f.u.): 0.0
Energy relative to the lowest polymorph listed for this composition (eV per atom): 0.000

---

Record 7
Entry from OQMD via LeMat-Bulk: a relaxed CdMo4AuC2 crystal (PBE).

Cell lengths 3.1068, 3.1068, 13.9163 Å; angles 90.00, 90.00, 120.00 degrees
Space group P-6m2 (No. 187)
Asymmetric unit:
Cd (0.0000, 0.0000, 0.0000)
Mo (0.0000, 0.0000, 0.3355)
Mo (0.3333, 0.6667, 0.1758)
Au (0.3333, 0.6667, 0.5000)
C (0.6667, 0.3333, 0.2551)

Energy (eV per atom): -8.198
Total moment (μB/f.u.): 0.0

---

Record 8
Entry from OQMD via LeMat-Bulk: a relaxed ErFe2GeP crystal (PBE).

Cell lengths 3.9125, 3.9125, 9.5867 Å; angles 90.00, 90.00, 90.00 degrees
Space group I4mm (No. 107)
Asymmetric unit:
Er (0.0000, 0.0000, 0.0000)
Fe (0.0000, 0.5000, 0.2401)
Ge (0.0000, 0.0000, 0.3728)
P (0.0000, 0.0000, 0.6368)

Energy (eV per atom): -6.999
Total moment (μB/f.u.): 0.0

---

Record 9
Entry from OQMD via LeMat-Bulk: a relaxed KGdCuTe3 crystal (PBE).

Cell lengths 11.4942, 4.2366, 15.9832 Å; angles 90.00, 90.00, 90.00 degrees
Space group Pnma (No. 62)
Asymmetric unit:
K (0.2275, 0.2500, 0.0025)
Gd (0.0185, 0.7500, 0.2543)
Cu (0.2371, 0.7500, 0.7841)
Te (0.0493, 0.7500, 0.8779)
Te (0.0836, 0.2500, 0.3861)
Te (0.2342, 0.2500, 0.6815)

Energy (eV per atom): -4.064
Total moment (μB/f.u.): 0.0
Energy relative to the lowest polymorph listed for this composition (eV per atom): 0.003

---

Record 10
Entry from OQMD via LeMat-Bulk: a relaxed Ho3TmTe2C2 crystal (PBE).

Cell lengths 3.8030, 3.8030, 13.9169 Å; angles 90.00, 90.00, 120.00 degrees
Space group P3m1 (No. 156)
Asymmetric unit:
Ho (0.0000, 0.0000, 0.0000)
Ho (0.0000, 0.0000, 0.3150)
Ho (0.3333, 0.6667, 0.5016)
Tm (0.3333, 0.6667, 0.8152)
Te (0.0000, 0.0000, 0.6599)
Te (0.3333, 0.6667, 0.1575)
C (0.6667, 0.3333, 0.4083)
C (0.6667, 0.3333, 0.9066)

Energy (eV per atom): -6.250
Total moment (μB/f.u.): 0.0

---

Record 11
Entry from OQMD via LeMat-Bulk: a relaxed Gd2Tm crystal (PBE).

Cell lengths 12.5467, 12.5467, 12.5467 Å; angles 90.00, 90.00, 90.00 degrees
Space group Fd-3m (No. 227, origin choice 2)
Asymmetric unit:
Gd (0.0000, 0.0000, 0.0000)
Tm (0.1250, 0.1250, 0.1250)

Energy (eV per atom): -2.018
Formation enthalpy at 0 K (eV per atom): 2.577
Total moment (μB/f.u.): 0.0
Energy relative to the lowest polymorph listed for this composition (eV per atom): 2.559

---

Record 12
Entry from OQMD via LeMat-Bulk: a relaxed Lu4Zr2As3N3 crystal (PBE).

Cell lengths 10.5835, 6.1235, 13.1009 Å; angles 90.00, 105.63, 90.00 degrees
Space group C2/c (No. 15)
Asymmetric unit:
Lu (0.1171, 0.0824, 0.1014)
Lu (0.2156, 0.0842, 0.3987)
Zr (0.0506, 0.4163, 0.9013)
As (0.0000, 0.0923, 0.7500)
As (0.1623, 0.4212, 0.2497)
N (0.0821, 0.2535, 0.5000)
N (0.2500, 0.2500, 0.0000)

Energy (eV per atom): -7.538
Total moment (μB/f.u.): 0.0